Computed, not measured: AlMo3Os after structural relaxation at the GGA-PBE level of DFT.

As for the formation energy: 1683 meV/atom. The value obtained for the excess energy over the best structure of this formula in the dataset is 0.150 eV per atom.

The space group is Pm-3m (No. 221) and the conventional cell measures 4.4322, 4.4322 and 4.4322 Å, with angles of 90.00, 90.00 and 90.00 degrees. The asymmetric unit holds Al at (0.0000, 0.0000, 0.0000), Mo at (0.0000, 0.0000, 0.5000) and Os at (0.5000, 0.5000, 0.5000).